CaSb | PBE-GGA | optimized geometry

Cell: 7.774 7.774 7.774 Å, 90.00 90.00 90.00°
Space group Fd-3m (No. 227, origin choice 2)
Asymmetric unit:
Ca  0.125  0.125  0.125 x8
Sb  0.125  0.125  0.625 x8

Formation energy (no corrections): -331 meV per atom
VASP energy: -3.39 eV per atom